The following is a GGA-PBE calculation of a relaxed structure of PrSmY, from Alexandria via LeMat-Bulk.

The structure in POSCAR format:
```
PrSmY
1.0
3.6240 0.0003 0.4164
1.7882 3.1508 0.4194
-0.2333 -0.1584 17.9301
Pr Sm Y
2 2 2
Direct
0.5948 0.1914 0.0499 Pr
0.9852 0.5842 0.8756 Pr
0.7068 0.3080 0.7066 Sm
0.8727 0.4685 0.2188 Sm
0.0950 0.6952 0.5435 Y
0.4842 0.0817 0.3817 Y
```

Results
Its total energy is -5.29 eV/atom. Its mass density is 6.2 g cm⁻³. Its offset from the most stable computed form is 0.03 eV per formula unit.